(1)
VASP calculation (PBE) on crystalline NaFeCo at its relaxed geometry.

a b c (Å): 4.0231 3.8038 6.9514
angles (deg): 90.00 93.44 90.00
Sites, in units of the cell vectors:
Na 0.0000 0.0000 0.0000
Na 0.4721 0.5000 0.7117
Fe 0.0448 0.5000 0.3492
Fe 0.9238 0.0000 0.5040
Co 0.4316 0.0000 0.3521
Co 0.5558 0.5000 0.2016

- Space-group type: Pm, No. 6
- Polymorph energy (0 for the lowest one): 337 meV per atom
- Electronic total energy: -5.017 eV/atom
- Formation energy: 612 meV/atom

(2)
VASP calculation (PBE) on crystalline NaFeCo3 at its relaxed geometry.

a b c (Å): 4.4007 4.4007 4.4007
angles (deg): 90.00 90.00 90.00
Sites, in units of the cell vectors:
Na 0.0000 0.0000 0.0000
Fe 0.5000 0.5000 0.5000
Co 0.0000 0.5000 0.5000
Co 0.5000 0.0000 0.5000
Co 0.5000 0.5000 0.0000

- Space-group type: Pm-3m, No. 221
- Polymorph energy (0 for the lowest one): 0 meV per atom
- Electronic total energy: -5.193 eV/atom
- Formation energy: 1026 meV/atom

(3)
VASP calculation (PBE) on crystalline NaFeCoP2 at its relaxed geometry.

a b c (Å): 3.7647 3.7647 9.7434
angles (deg): 90.00 90.00 90.00
Sites, in units of the cell vectors:
Na 0.0000 0.0000 0.0000
Na 0.5000 0.5000 0.5000
Fe 0.0000 0.5000 0.2500
Fe 0.5000 0.0000 0.7500
Co 0.0000 0.5000 0.7500
Co 0.5000 0.0000 0.2500
P 0.0000 0.0000 0.3677
P 0.0000 0.0000 0.6323
P 0.5000 0.5000 0.1323
P 0.5000 0.5000 0.8677

- Space-group type: I-4m2, No. 119
- Electronic total energy: -6.089 eV/atom
- Formation energy: -547 meV/atom

(4)
VASP calculation (PBE) on crystalline Na2FeCoPd at its relaxed geometry.

a b c (Å): 5.0436 5.0436 4.3170
angles (deg): 90.00 90.00 90.00
Sites, in units of the cell vectors:
Na 0.0000 0.5000 0.0000
Na 0.5000 0.0000 0.0000
Fe 0.0000 0.0000 0.5000
Co 0.0000 0.0000 0.0000
Pd 0.5000 0.5000 0.5000

- Space-group type: P4/mmm, No. 123
- Electronic total energy: -3.667 eV/atom
- Formation energy: 1013 meV/atom

(5)
VASP calculation (PBE) on crystalline Na2FeCoRu at its relaxed geometry.

a b c (Å): 4.9338 4.9338 4.3600
angles (deg): 90.00 90.00 90.00
Sites, in units of the cell vectors:
Na 0.0000 0.5000 0.0000
Na 0.5000 0.0000 0.0000
Fe 0.0000 0.0000 0.5000
Co 0.5000 0.5000 0.0000
Ru 0.5000 0.5000 0.5000

- Space-group type: P4/mmm, No. 123
- Electronic total energy: -4.066 eV/atom
- Formation energy: 1431 meV/atom

(6)
VASP calculation (PBE) on crystalline NaFeCoSe3 at its relaxed geometry.

a b c (Å): 7.8480 3.5811 8.9028
angles (deg): 90.00 109.62 90.00
Sites, in units of the cell vectors:
Na 0.2147 0.2500 0.2530
Na 0.7853 0.7500 0.7470
Fe 0.0731 0.2500 0.5980
Fe 0.9269 0.7500 0.4020
Co 0.3277 0.7500 0.8466
Co 0.6723 0.2500 0.1534
Se 0.1277 0.2500 0.8769
Se 0.2590 0.7500 0.5523
Se 0.4619 0.7500 0.1310
Se 0.5381 0.2500 0.8690
Se 0.7410 0.2500 0.4477
Se 0.8723 0.7500 0.1231

- Space-group type: P2_1/m, No. 11
- Uncorrected formation energy: -442 meV per atom
- Electronic total energy: -4.999 eV/atom

(7)
VASP calculation (PBE) on crystalline NaFeCoTe2 at its relaxed geometry.

a b c (Å): 5.1956 5.1956 4.5509
angles (deg): 90.00 90.00 90.00
Sites, in units of the cell vectors:
Na 0.0000 0.0000 0.0000
Fe 0.5000 0.5000 0.5000
Co 0.5000 0.5000 0.0000
Te 0.0000 0.5000 0.5000
Te 0.5000 0.0000 0.5000

- Space-group type: P4/mmm, No. 123
- Uncorrected formation energy: 317 meV per atom
- Electronic total energy: -4.317 eV/atom

(8)
VASP calculation (PBE) on crystalline NaYFe2Co at its relaxed geometry.

a b c (Å): 4.3199 4.3199 4.6463
angles (deg): 90.00 90.00 90.00
Sites, in units of the cell vectors:
Na 0.0000 0.0000 0.0000
Y 0.5000 0.5000 0.0000
Fe 0.0000 0.5000 0.5000
Fe 0.5000 0.0000 0.5000
Co 0.0000 0.0000 0.5000

- Space-group type: P4/mmm, No. 123
- Electronic total energy: -5.465 eV/atom
- Formation energy: 898 meV/atom